# PuSn2 PBE relaxed
data_PuSn2
_cell_length_a 3.7703
_cell_length_b 3.7703
_cell_length_c 6.1778
_cell_angle_alpha 107.77
_cell_angle_beta 107.77
_cell_angle_gamma 89.90
_symmetry_space_group_name_H-M 'P 1'
_symmetry_Int_Tables_number 1
loop_
_symmetry_equiv_pos_as_xyz
'x,y,z'
loop_
_atom_site_label
_atom_site_type_symbol
_atom_site_fract_x
_atom_site_fract_y
_atom_site_fract_z
Pu1 Pu 0.5000 0.5000 0.0000
Sn1 Sn 0.1821 0.1821 0.3646
Sn2 Sn 0.8179 0.8179 0.6354
# - E_form (kJ/mol of atoms) = -19
# - symmetry = No. 69
# - E_tot (Ry/atom) = -0.562


# SrBiP2Pd4 PBE relaxed
data_SrBiP2Pd4
_cell_length_a 4.1839
_cell_length_b 4.1839
_cell_length_c 9.5090
_cell_angle_alpha 90.00
_cell_angle_beta 90.00
_cell_angle_gamma 90.00
_symmetry_space_group_name_H-M 'P 1'
_symmetry_Int_Tables_number 1
loop_
_symmetry_equiv_pos_as_xyz
'x,y,z'
loop_
_atom_site_label
_atom_site_type_symbol
_atom_site_fract_x
_atom_site_fract_y
_atom_site_fract_z
Pd1 Pd 0.5000 0.0000 0.2116
Bi1 Bi 0.0000 0.0000 0.0000
Sr1 Sr 0.0000 0.0000 0.5000
P1 P 0.5000 0.5000 0.3265
Pd2 Pd 0.5000 0.0000 0.7884
Pd3 Pd 0.0000 0.5000 0.2116
P2 P 0.5000 0.5000 0.6735
Pd4 Pd 0.0000 0.5000 0.7884
# - E_form (kJ/mol of atoms) = -54
# - symmetry = No. 123
# - E_tot (Ry/atom) = -0.382


The evaluated magnetic moment for the records listed, in turn: 6.2, 0.0 μB/f.u..